VASP calculation (GGA-PBE) on a relaxed structure of SmErGaCu.

```
data_SmErGaCu
_chemical_formula_sum 'Sm4 Er4 Ga4 Cu4'
_symmetry_space_group_name_H-M 'P 1'
_symmetry_Int_Tables_number 1
_cell_length_a 7.120
_cell_length_b 7.120
_cell_length_c 7.120
_cell_angle_alpha 90.00
_cell_angle_beta 90.00
_cell_angle_gamma 90.00
loop_
_symmetry_equiv_pos_as_xyz
'x,y,z'
loop_
_atom_site_label
_atom_site_type_symbol
_atom_site_fract_x
_atom_site_fract_y
_atom_site_fract_z
Sm1 Sm 0.000 0.000 0.000
Sm2 Sm 0.000 0.500 0.500
Sm3 Sm 0.500 0.000 0.500
Sm4 Sm 0.500 0.500 0.000
Er1 Er 0.000 0.000 0.500
Er2 Er 0.000 0.500 0.000
Er3 Er 0.500 0.000 0.000
Er4 Er 0.500 0.500 0.500
Ga1 Ga 0.250 0.250 0.250
Ga2 Ga 0.250 0.750 0.750
Ga3 Ga 0.750 0.250 0.750
Ga4 Ga 0.750 0.750 0.250
Cu1 Cu 0.250 0.250 0.750
Cu2 Cu 0.250 0.750 0.250
Cu3 Cu 0.750 0.250 0.250
Cu4 Cu 0.750 0.750 0.750
```

## Properties
E in eV per atom: -4.494
DOS at the Fermi energy in states/eV/atom: 0.8536
Total magnetic moment in μB per cell: 0.004
Formation enthalpy at 0 K in eV per atom: -0.393
Theoretical density in kg/m3: 8296
Space group: F-43m (216)